Density functional theory data (PBE-GGA) for a geometry-optimized LaPrPuSc structure.

total energy	-7.3846	eV per atom
magnetic moment	7.5	μB/f.u.

abc: 7.926 7.926 7.926
angles: 90.00 90.00 90.00
Space group F-43m (No. 216)
Symmetry-distinct sites (fractional):
La  0.000  0.000  0.000 [4 per cell]
Pr  0.000  0.000  0.500 [4 per cell]
Pu  0.250  0.250  0.250 [4 per cell]
Sc  0.250  0.250  0.750 [4 per cell]

***

Density functional theory data (PBE-GGA) for a geometry-optimized La2PrPu3Se6 structure.

total energy	-8.2922	eV per atom
magnetic moment	17.4	μB/f.u.
formation energy from raw total energies	-1747	meV per atom

abc: 18.448 4.210 8.470
angles: 90.00 103.80 90.00
Space group C2/m (No. 12)
Symmetry-distinct sites (fractional):
La  0.166  0.000  0.331 [4 per cell]
Pr  0.000  0.500  0.000 [2 per cell]
Pu  0.000  0.500  0.500 [2 per cell]
Pu  0.167  0.000  0.834 [4 per cell]
Se  0.003  0.000  0.745 [4 per cell]
Se  0.164  0.500  0.590 [4 per cell]
Se  0.169  0.500  0.076 [4 per cell]

***

Density functional theory data (PBE-GGA) for a geometry-optimized LaPr2PuSe4 structure.

total energy	-7.1586	eV per atom
magnetic moment	5.8	μB/f.u.
formation energy from raw total energies	-1814	meV per atom

abc: 7.363 4.237 7.380
angles: 90.00 109.31 90.00
Space group P2/m (No. 10)
Symmetry-distinct sites (fractional):
La  0.000  0.000  0.000 [1 per cell]
Pr  0.500  0.000  0.500 [1 per cell]
Pr  0.500  0.500  0.000 [1 per cell]
Pu  0.000  0.500  0.500 [1 per cell]
Se  0.244  0.000  0.742 [2 per cell]
Se  0.248  0.500  0.255 [2 per cell]

***

Density functional theory data (PBE-GGA) for a geometry-optimized LaPrPuSn structure.

total energy	-7.2109	eV per atom
magnetic moment	6.9	μB/f.u.

abc: 7.862 7.862 7.862
angles: 90.00 90.00 90.00
Space group F-43m (No. 216)
Symmetry-distinct sites (fractional):
La  0.000  0.000  0.000 [4 per cell]
Pr  0.000  0.000  0.500 [4 per cell]
Pu  0.250  0.250  0.750 [4 per cell]
Sn  0.250  0.250  0.250 [4 per cell]

***

Density functional theory data (PBE-GGA) for a geometry-optimized La2Pr3PuTe6 structure.

total energy	-6.2259	eV per atom
magnetic moment	6.0	μB/f.u.
formation energy from raw total energies	-1445	meV per atom

abc: 19.758 4.520 9.091
angles: 90.00 103.21 90.00
Space group C2/m (No. 12)
Symmetry-distinct sites (fractional):
La  0.165  0.000  0.332 [4 per cell]
Pr  0.000  0.500  0.500 [2 per cell]
Pr  0.169  0.000  0.836 [4 per cell]
Pu  0.000  0.500  0.000 [2 per cell]
Te  0.002  0.000  0.757 [4 per cell]
Te  0.164  0.500  0.081 [4 per cell]
Te  0.167  0.500  0.585 [4 per cell]

***

Density functional theory data (PBE-GGA) for a geometry-optimized La2PrPu3Te6 structure.

total energy	-7.6930	eV per atom
magnetic moment	5.9	μB/f.u.
formation energy from raw total energies	-1320	meV per atom

abc: 19.692 4.489 9.009
angles: 90.00 103.74 90.00
Space group C2/m (No. 12)
Symmetry-distinct sites (fractional):
La  0.164  0.000  0.331 [4 per cell]
Pr  0.000  0.500  0.500 [2 per cell]
Pu  0.000  0.500  0.000 [2 per cell]
Pu  0.169  0.000  0.834 [4 per cell]
Te  0.004  0.000  0.758 [4 per cell]
Te  0.166  0.500  0.075 [4 per cell]
Te  0.167  0.500  0.590 [4 per cell]

***

Density functional theory data (PBE-GGA) for a geometry-optimized La3Pr2PuTe6 structure.

total energy	-6.2630	eV per atom
magnetic moment	6.1	μB/f.u.
formation energy from raw total energies	-1469	meV per atom

abc: 19.792 4.528 9.112
angles: 90.00 103.26 90.00
Space group C2/m (No. 12)
Symmetry-distinct sites (fractional):
La  0.000  0.000  0.000 [2 per cell]
La  0.168  0.500  0.334 [4 per cell]
Pr  0.166  0.500  0.832 [4 per cell]
Pu  0.000  0.000  0.500 [2 per cell]
Te  0.000  0.500  0.257 [4 per cell]
Te  0.163  0.000  0.583 [4 per cell]
Te  0.167  0.000  0.082 [4 per cell]

***

Density functional theory data (PBE-GGA) for a geometry-optimized LaPrPuTl structure.

total energy	-6.5182	eV per atom
magnetic moment	8.3	μB/f.u.

abc: 7.913 7.913 7.913
angles: 90.00 90.00 90.00
Space group F-43m (No. 216)
Symmetry-distinct sites (fractional):
La  0.000  0.000  0.000 [4 per cell]
Pr  0.250  0.250  0.250 [4 per cell]
Pu  0.000  0.000  0.500 [4 per cell]
Tl  0.250  0.250  0.750 [4 per cell]

***

Density functional theory data (PBE-GGA) for a geometry-optimized La2Pr3Y6Pu structure.

total energy	-6.4016	eV per atom
magnetic moment	6.4	μB/f.u.

abc: 6.282 10.887 11.890
angles: 90.00 100.17 90.00
Space group C2/m (No. 12)
Symmetry-distinct sites (fractional):
La  0.000  0.167  0.000 [4 per cell]
Pr  0.000  0.000  0.500 [2 per cell]
Pr  0.000  0.333  0.500 [4 per cell]
Y  0.246  0.500  0.752 [4 per cell]
Y  0.247  0.336  0.248 [8 per cell]
Pu  0.000  0.500  0.000 [2 per cell]

***

Density functional theory data (PBE-GGA) for a geometry-optimized LaPrYPu structure.

total energy	-7.4160	eV per atom
magnetic moment	7.7	μB/f.u.

abc: 8.122 8.122 8.122
angles: 90.00 90.00 90.00
Space group F-43m (No. 216)
Symmetry-distinct sites (fractional):
La  0.000  0.000  0.000 [4 per cell]
Pr  0.000  0.000  0.500 [4 per cell]
Y  0.250  0.250  0.750 [4 per cell]
Pu  0.250  0.250  0.250 [4 per cell]

***

Density functional theory data (PBE-GGA) for a geometry-optimized Rb3La2PrS6 structure.

total energy	-5.3967	eV per atom
magnetic moment	0.0	μB/f.u.
formation energy from raw total energies	-1872	meV per atom

abc: 7.453 12.909 8.091
angles: 90.00 107.88 90.00
Space group C2/m (No. 12)
Symmetry-distinct sites (fractional):
Rb  0.000  0.000  0.000 [2 per cell]
Rb  0.000  0.333  0.000 [4 per cell]
La  0.000  0.167  0.500 [4 per cell]
Pr  0.000  0.500  0.500 [2 per cell]
S  0.232  0.334  0.698 [8 per cell]
S  0.235  0.000  0.698 [4 per cell]

***

Density functional theory data (PBE-GGA) for a geometry-optimized Rb4LaPr3Se8 structure.

total energy	-4.9415	eV per atom
magnetic moment	0.0	μB/f.u.
formation energy from raw total energies	-1753	meV per atom

abc: 8.8487 8.8487 24.0716
angles: 90.00 90.00 120.00
Space group R-3m (No. 166, hexagonal axes)
Symmetry-distinct sites (fractional):
Rb  0.0000  0.0000  0.0000 [3 per cell]
Rb  0.0000  0.5000  0.0000 [9 per cell]
La  0.0000  0.0000  0.5000 [3 per cell]
Pr  0.0000  0.5000  0.5000 [9 per cell]
Se  0.0000  0.0000  0.2341 [6 per cell]
Se  0.0017  0.5008  0.7659 [18 per cell]